Material: Co4Cu3Ni2Se12
Method: DFT, GGA-PBEsol
State: relaxed

```
42
Lattice="6.0411 -3.4820 0.0000 6.0411 3.4820 0.0000 -0.0562 0.0000 17.2474" Properties=species:S:1:pos:R:3 pbc="T T T"
Co 2.9924 1.7410 8.6237
Co 1.9641 0.0000 14.3801
Co 4.9813 1.7429 14.3789
Co 7.0446 1.7429 2.8686
Co 2.9924 -1.7410 8.6237
Co 4.9813 -1.7429 14.3789
Co 7.0446 -1.7429 2.8686
Co 10.0618 0.0000 2.8674
Cu -0.0205 0.0000 6.4425
Cu 12.0465 0.0000 10.8049
Cu 4.0246 0.0000 0.7025
Cu 4.0300 0.0000 5.0439
Cu 7.9960 0.0000 12.2035
Cu 8.0013 0.0000 16.5449
Ni 0.0000 0.0000 0.0000
Ni 3.9741 0.0000 11.5087
Ni 6.0130 0.0000 8.6237
Ni 8.0519 0.0000 5.7388
Se -0.0086 0.0000 4.0862
Se 12.0345 0.0000 13.1612
Se 3.0647 1.5746 13.0388
Se 1.8203 0.0000 1.5334
Se 5.1280 1.9083 1.5334
Se 4.8839 1.5852 9.9860
Se 2.1648 0.0000 9.9641
Se 6.8979 1.9083 15.7140
Se 3.9752 0.0000 7.4035
Se 3.9751 0.0000 15.5954
Se 7.1420 1.5852 7.2614
Se 3.0647 -1.5746 13.0388
Se 5.7931 0.0000 13.0433
Se 6.2328 0.0000 4.2041
Se 8.9612 1.5746 4.2086
Se 4.8839 -1.5852 9.9860
Se 8.0508 0.0000 1.6520
Se 8.0508 0.0000 9.8439
Se 5.1280 -1.9083 1.5334
Se 9.8612 0.0000 7.2834
Se 7.1420 -1.5852 7.2614
Se 6.8979 -1.9083 15.7140
Se 10.2056 0.0000 15.7141
Se 8.9612 -1.5746 4.2086
```

Summary:
* theoretical density: 6.83 g/cm³
* Fermi-level density of states: 21.80 states/eV/cell
* SG: C2/m
* E: -5.2107 eV/atom

=====

Material: Sb2AsBr
Method: DFT, GGA-PBEsol
State: relaxed

```
4
Lattice="3.7257 0.0000 0.0000 0.0000 4.5684 0.0000 0.0000 0.0000 5.6922" Properties=species:S:1:pos:R:3 pbc="T T T"
Sb 0.0000 0.0000 0.0000
Sb 1.8628 0.0000 2.8461
As 0.0000 2.2842 2.8461
Br 1.8628 2.2842 0.0000
```

Summary:
* theoretical density: 6.83 g/cm³
* Fermi-level density of states: 3.16 states/eV/cell
* SG: Pmmm
* E: -3.7364 eV/atom

=====

Material: NaZrIn3
Method: DFT, GGA-PBEsol
State: relaxed

```
5
Lattice="5.5412 0.0000 0.0000 0.0000 5.5412 0.0000 0.0000 0.0000 5.5412" Properties=species:S:1:pos:R:3 pbc="T T T"
Na 0.0000 0.0000 0.0000
Zr 2.7706 2.7706 2.7706
In 0.0000 2.7706 2.7706
In 2.7706 0.0000 2.7706
In 2.7706 2.7706 0.0000
```

Summary:
* theoretical density: 4.48 g/cm³
* Fermi-level density of states: 4.74 states/eV/cell
* SG: Pm-3m
* E: -3.5164 eV/atom
* calculated formation energy: 371 meV per atom

=====

Material: TlFe3Cu
Method: DFT, GGA-PBEsol
State: relaxed

```
5
Lattice="4.3452 0.0000 0.0000 0.0000 4.3452 0.0000 0.0000 0.0000 4.3452" Properties=species:S:1:pos:R:3 pbc="T T T"
Tl 0.0000 0.0000 0.0000
Fe 0.0000 2.1726 2.1726
Fe 2.1726 0.0000 2.1726
Fe 2.1726 2.1726 0.0000
Cu 2.1726 2.1726 2.1726
```

Summary:
* theoretical density: 8.81 g/cm³
* Fermi-level density of states: 5.64 states/eV/cell
* SG: Pm-3m
* E: -5.6732 eV/atom
* calculated formation energy: 1098 meV per atom

=====

Material: TiMn3P4O16
Method: DFT, GGA-PBEsol
State: relaxed

```
24
Lattice="4.8666 0.0000 0.0000 0.0000 5.9249 0.0000 -0.0165 0.0000 9.8126" Properties=species:S:1:pos:R:3 pbc="T T T"
Ti 0.0000 0.0000 0.0000
Mn 1.8941 0.0000 4.8506
Mn 2.4914 2.9625 0.5452
Mn 4.3500 2.9625 5.4985
P 0.1458 2.9625 8.5512
P 1.8008 2.9625 3.7108
P 2.7774 0.0000 1.7680
P 4.2300 0.0000 6.6180
O 0.5360 2.9625 7.0731
O 0.8175 1.7392 9.2967
O 0.8175 4.1857 9.2967
O 0.8815 0.0000 6.4358
O 1.0938 1.7569 4.4106
O 1.0938 4.1680 4.4106
O 1.2944 0.0000 1.3921
O 1.5363 2.9625 2.2070
O 2.9715 0.0000 3.2660
O 3.3237 2.9625 3.9377
O 3.5040 2.9625 8.7248
O 3.5183 1.2088 5.9604
O 3.5183 4.7161 5.9604
O 3.5318 1.1731 1.0403
O 3.5318 4.7518 1.0403
O 3.9775 0.0000 8.1575
```

Summary:
* theoretical density: 3.48 g/cm³
* Fermi-level density of states: 3.33 states/eV/cell
* SG: Pm
* E: -8.1636 eV/atom

=====

Material: FeRePb
Method: DFT, GGA-PBEsol
State: relaxed

```
12
Lattice="6.1578 0.0000 0.0000 0.0000 6.1578 0.0000 0.0000 0.0000 6.1578" Properties=species:S:1:pos:R:3 pbc="T T T"
Fe 0.0000 0.0000 0.0000
Fe 0.0000 3.0789 3.0789
Fe 3.0789 0.0000 3.0789
Fe 3.0789 3.0789 0.0000
Re 0.0000 0.0000 3.0789
Re 0.0000 3.0789 0.0000
Re 3.0789 0.0000 0.0000
Re 3.0789 3.0789 3.0789
Pb 1.5394 1.5394 4.6183
Pb 1.5394 4.6183 1.5394
Pb 4.6183 1.5394 1.5394
Pb 4.6183 4.6183 4.6183
```

Summary:
* theoretical density: 12.78 g/cm³
* Fermi-level density of states: 15.63 states/eV/cell
* SG: F-43m
* E: -7.1442 eV/atom
* calculated formation energy: 1621 meV per atom

=====

Question: Number 4 is which compound?
Answer: TlFe3Cu

=====

Question: Which of these has the highest E?
Answer: NaZrIn3

=====

Question: Which formula does entry 3 have?
Answer: NaZrIn3

=====

Question: What is the theoretical density in the first record?
Answer: 6.83 g/cm³